Entry 1:
A relaxed structure of TaCrRh, computed with PBE.

Unit cell a=4.9965 b=4.7121 c=9.4042 alpha=81.90 beta=74.59 gamma=57.98
Fractional positions:
1 Rh 0.1758 0.5000 0.6484
2 Rh 0.3242 0.5000 0.3516
3 Rh 0.5742 0.0000 0.8516
4 Rh 0.4258 0.0000 0.1484
5 Cr 0.6263 0.5000 0.7474
6 Cr 0.8737 0.5000 0.2526
7 Cr 0.1237 0.0000 0.7526
8 Cr 0.8763 0.0000 0.2474
9 Ta 0.9360 0.1279 0.5000
10 Ta 0.5640 0.8721 0.5000
11 Ta 0.8140 0.3721 0.0000
12 Ta 0.1860 0.6279 0.0000

Output
calculated formation energy: 0.145 eV per atom
energy above the most stable polymorph in this dataset: 218 meV/atom
symmetry: Fddd



Entry 2:
A relaxed structure of CeVNi, computed with PBE.

Unit cell a=2.9476 b=2.9476 c=6.1892 alpha=103.78 beta=103.78 gamma=90.00
Fractional positions:
1 Ni 0.3049 0.3049 0.6099
2 Ce 0.0003 0.0003 0.0006
3 V 0.6948 0.6948 0.3895

Output
calculated formation energy: 0.038 eV per atom
energy above the most stable polymorph in this dataset: 0 meV/atom
symmetry: I4mm



Entry 3:
A relaxed structure of RbLaInTe3, computed with PBE.

Unit cell a=5.2014 b=9.4675 c=10.8170 alpha=106.55 beta=90.00 gamma=90.00
Fractional positions:
1 Rb 0.2500 0.2237 0.2456
2 Rb 0.7500 0.7763 0.7544
3 La 0.2500 0.6824 0.1350
4 La 0.7500 0.3176 0.8650
5 In 0.2500 0.1163 0.5996
6 In 0.7500 0.8837 0.4004
7 Te 0.7500 0.9067 0.1366
8 Te 0.2500 0.0933 0.8634
9 Te 0.2500 0.7813 0.4600
10 Te 0.7500 0.2187 0.5400
11 Te 0.7500 0.4771 0.1637
12 Te 0.2500 0.5229 0.8363

Output
DFT total energy: -48.1 eV per cell
symmetry: P2_1/m



Entry 4:
A relaxed structure of CdNiIN2, computed with PBE.

Unit cell a=4.1837 b=4.1837 c=6.6305 alpha=90.00 beta=90.00 gamma=90.00
Site moments in Bohr magnetons follow the coordinates.
Fractional positions:
1 I 0.0000 0.0000 0.5000  0.11
2 Ni 0.5000 0.5000 0.5000  0.92
3 N 0.0000 0.5000 0.0000  1.12
4 N 0.5000 0.0000 0.0000  1.12
5 Cd 0.0000 0.0000 0.0000  0.05

Output
energy above the most stable polymorph in this dataset: 611 meV/atom
symmetry: P4/mmm



Entry 5:
A relaxed structure of Hf3HgTe, computed with PBE.

Unit cell a=5.1985 b=5.1985 c=5.1985 alpha=90.00 beta=90.00 gamma=90.00
Fractional positions:
1 Te 0.0000 0.0000 0.0000
2 Hf 0.0000 0.5000 0.0000
3 Hf 0.0000 0.0000 0.5000
4 Hf 0.5000 0.0000 0.0000
5 Hg 0.5000 0.5000 0.5000

Output
energy above the most stable polymorph in this dataset: 0 meV/atom
symmetry: Pm-3m



Entry 6:
A relaxed structure of Ti4GaSi, computed with PBE.

Unit cell a=4.6430 b=4.6421 c=8.8612 alpha=90.00 beta=90.00 gamma=90.00
Fractional positions:
1 Ti 0.0000 0.5000 0.1519
2 Ti 0.5000 0.0000 0.8481
3 Ti 0.5000 0.5000 0.3266
4 Ti 0.0000 0.0000 0.6734
5 Ti 0.0000 0.5000 0.8481
6 Ti 0.5000 0.0000 0.1519
7 Ti 0.5000 0.5000 0.6734
8 Ti 0.0000 0.0000 0.3266
9 Ga 0.5000 0.0000 0.5000
10 Ga 0.0000 0.5000 0.5000
11 Si 0.0000 0.0000 0.0000
12 Si 0.5000 0.5000 0.0000

Output
energy above the most stable polymorph in this dataset: 66 meV/atom
symmetry: P4/mmm



Entry 7:
A relaxed structure of BaPr2IO8, computed with PBE.

Unit cell a=5.3886 b=4.6630 c=7.3319 alpha=71.88 beta=90.11 gamma=90.21
Site moments in Bohr magnetons follow the coordinates.
Fractional positions:
1 Ba 0.0000 0.0000 0.5000  0.00
2 Pr 0.5007 0.3711 0.7852  0.00
3 Pr 0.4993 0.6289 0.2148  0.00
4 I 0.0000 0.0000 0.0000  0.00
5 O 0.0003 0.6636 0.2323  0.00
6 O 0.7412 0.8316 0.8889  0.00
7 O 0.7416 0.1659 0.1112  0.00
8 O 0.9997 0.3364 0.7677  0.00
9 O 0.2588 0.1684 0.1111  0.00
10 O 0.2584 0.8341 0.8888  0.00
11 O 0.4999 0.7579 0.4970  0.10
12 O 0.5001 0.2421 0.5030  0.10

Output
DFT total energy: -76.6 eV per cell
symmetry: P-1



Entry 8:
A relaxed structure of MgGe3Sb, computed with PBE.

Unit cell a=5.0283 b=5.0283 c=5.0283 alpha=90.00 beta=90.00 gamma=90.00
Fractional positions:
1 Sb 0.5000 0.5000 0.5000
2 Ge 0.0000 0.5000 0.0000
3 Ge 0.0000 0.0000 0.5000
4 Ge 0.5000 0.0000 0.0000
5 Mg 0.0000 0.0000 0.0000

Output
energy above the most stable polymorph in this dataset: 0 meV/atom
symmetry: Pm-3m



Entry 9:
A relaxed structure of TcBr2Cl, computed with PBE.

Unit cell a=5.0003 b=5.0003 c=5.0003 alpha=60.00 beta=60.00 gamma=60.00
Site moments in Bohr magnetons follow the coordinates.
Fractional positions:
1 Tc 0.5000 0.5000 0.5000  3.62
2 Br 0.2500 0.2500 0.2500  0.00
3 Br 0.7500 0.7500 0.7500  0.00
4 Cl 0.0000 0.0000 0.0000  -0.05

Output
energy above the most stable polymorph in this dataset: 951 meV/atom
symmetry: Fm-3m



Entry 10:
A relaxed structure of CuI2N2, computed with PBE.

Unit cell a=4.2369 b=4.2369 c=6.5062 alpha=90.00 beta=90.00 gamma=90.00
Site moments in Bohr magnetons follow the coordinates.
Fractional positions:
1 I 0.5000 0.5000 0.5000  0.03
2 I 0.0000 0.0000 0.5000  0.04
3 Cu 0.0000 0.0000 0.0000  0.36
4 N 0.0000 0.5000 0.0000  1.29
5 N 0.5000 0.0000 0.0000  1.29

Output
energy above the most stable polymorph in this dataset: 1756 meV/atom
symmetry: P4/mmm



Entry 11:
A relaxed structure of Li11Hg9Pb4, computed with PBE.

Unit cell a=3.2361 b=12.6248 c=12.6248 alpha=105.95 beta=90.00 gamma=90.00
Fractional positions:
1 Li 0.0000 0.5999 0.9628
2 Li 0.0000 0.4001 0.0372
3 Li 0.0000 0.9628 0.5999
4 Li 0.0000 0.0372 0.4001
5 Li 0.0000 0.6373 0.3627
6 Li 0.0000 0.3627 0.6373
7 Li 0.0000 0.8189 0.1811
8 Li 0.0000 0.1811 0.8189
9 Li 0.0000 0.0000 0.0000
10 Li 0.0000 0.7990 0.7990
11 Li 0.0000 0.2010 0.2010
12 Hg 0.5000 0.6264 0.1545
13 Hg 0.5000 0.3736 0.8455
14 Hg 0.5000 0.1545 0.6264
15 Hg 0.5000 0.8455 0.3736
16 Hg 0.5000 0.8009 0.9881
17 Hg 0.5000 0.1991 0.0119
18 Hg 0.5000 0.9881 0.8009
19 Hg 0.5000 0.0119 0.1991
20 Hg 0.5000 0.5000 0.5000
21 Pb 0.5000 0.5844 0.7555
22 Pb 0.5000 0.4156 0.2445
23 Pb 0.5000 0.7555 0.5844
24 Pb 0.5000 0.2445 0.4156

Output
calculated formation energy: -0.286 eV per atom
symmetry: Cmmm



Entry 12:
A relaxed structure of CsCaSCl2, computed with PBE.

Unit cell a=5.4795 b=5.4795 c=5.5812 alpha=90.00 beta=90.00 gamma=90.00
Site moments in Bohr magnetons follow the coordinates.
Fractional positions:
1 Cs 0.5000 0.5000 0.5000  0.01
2 Ca 0.0000 0.0000 0.0000  -0.01
3 S 0.0000 0.0000 0.5000  0.50
4 Cl 0.0000 0.5000 0.0000  0.04
5 Cl 0.5000 0.0000 0.0000  0.04

Output
DFT total energy: -19.0 eV per cell
symmetry: P4/mmm